[1]
A plane-wave DFT calculation with PBE was carried out for a geometry-optimized CeSmGa4 structure.

Cell lengths 4.239, 4.239, 7.982 Å; angles 105.40, 105.40, 90.00 degrees
Fractional positions:
Ga: 0.583 0.583 0.166
Ga: 0.667 0.167 0.334
Ga: 0.833 0.333 0.666
Ga: 0.417 0.417 0.834
Sm: 0.000 0.000 0.000
Ce: 0.250 0.750 0.500

Calculated values
Magnetic moment = 0.49 μB per cell
Distance to the lowest polymorph of the same formula = 0.0088 eV per atom
E = -26.55 eV/cell
Energy relative to the elements = -0.63 eV/atom
Space-group type = I-4m2

[2]
A plane-wave DFT calculation with PBE was carried out for a geometry-optimized CeSmGa2 structure.

Cell lengths 3.682, 3.682, 9.224 Å; angles 78.49, 78.49, 60.00 degrees
Fractional positions:
Sm: 0.500 0.500 0.500
Ga: 0.250 0.250 0.251
Ga: 0.750 0.750 0.749
Ce: 0.000 0.000 0.000

Calculated values
Magnetic moment = 0.54 μB per cell
E = -17.95 eV/cell
Energy relative to the elements = -0.31 eV/atom
Space-group type = R-3m